No. 1
# ZrRe, relaxed, DFT PBE
data_ZrRe
_space_group_name_H-M_alt 'P 1'
_space_group_IT_number 1
_space_group_name_Hall 'P 1'
_cell_length_a 5.694
_cell_length_b 8.411
_cell_length_c 4.566
_cell_angle_alpha 90.00
_cell_angle_beta 90.00
_cell_angle_gamma 89.99
loop_
_atom_site_label
_atom_site_fract_x
_atom_site_fract_y
_atom_site_fract_z
Re1 0.564 0.104 0.000
Re2 0.064 0.729 0.000
Re3 0.776 0.203 0.500
Re4 0.279 0.324 0.500
Re5 0.779 0.510 0.500
Re6 0.276 0.631 0.500
Zr1 0.046 0.068 0.000
Zr2 0.014 0.413 0.000
Zr3 0.514 0.420 0.000
Zr4 0.546 0.765 0.000
Zr5 0.821 0.851 0.500
Zr6 0.321 0.982 0.500
# E_form (eV/atom): 0.070
# Total moment (Bohr magnetons per cell): 0.00
# Uncorrected energy (eV per atom): -10.415

No. 2
# ZrRe, relaxed, DFT PBE
data_ZrRe
_space_group_name_H-M_alt 'P 1'
_space_group_IT_number 1
_space_group_name_Hall 'P 1'
_cell_length_a 5.459
_cell_length_b 7.183
_cell_length_c 4.654
_cell_angle_alpha 90.00
_cell_angle_beta 90.00
_cell_angle_gamma 78.02
loop_
_atom_site_label
_atom_site_fract_x
_atom_site_fract_y
_atom_site_fract_z
Re1 0.381 0.154 0.000
Re2 0.778 0.352 0.000
Re3 0.585 0.748 0.000
Re4 0.091 0.255 0.500
Re5 0.480 0.438 0.500
Zr1 0.202 0.538 0.000
Zr2 0.976 0.963 0.000
Zr3 0.677 0.069 0.500
Zr4 0.866 0.635 0.500
Zr5 0.298 0.848 0.500
# E_form (eV/atom): -0.022
# Total moment (Bohr magnetons per cell): 0.00
# Uncorrected energy (eV per atom): -10.507

No. 3
# Zr2Re, relaxed, DFT PBE
data_Zr2Re
_space_group_name_H-M_alt 'P 1'
_space_group_IT_number 1
_space_group_name_Hall 'P 1'
_cell_length_a 5.500
_cell_length_b 5.500
_cell_length_c 5.500
_cell_angle_alpha 60.00
_cell_angle_beta 60.00
_cell_angle_gamma 60.00
loop_
_atom_site_label
_atom_site_fract_x
_atom_site_fract_y
_atom_site_fract_z
Re1 0.000 0.000 0.000
Re2 0.250 0.250 0.250
Zr1 0.625 0.625 0.125
Zr2 0.625 0.125 0.625
Zr3 0.125 0.625 0.625
Zr4 0.625 0.625 0.625
# E_form (eV/atom): 0.772
# Total moment (Bohr magnetons per cell): 0.01
# Uncorrected energy (eV per atom): -9.067

No. 4
# ZrRe, relaxed, DFT PBE
data_ZrRe
_space_group_name_H-M_alt 'P 1'
_space_group_IT_number 1
_space_group_name_Hall 'P 1'
_cell_length_a 5.525
_cell_length_b 11.407
_cell_length_c 4.712
_cell_angle_alpha 90.00
_cell_angle_beta 90.00
_cell_angle_gamma 90.00
loop_
_atom_site_label
_atom_site_fract_x
_atom_site_fract_y
_atom_site_fract_z
Re1 0.053 0.519 0.000
Re2 0.461 0.640 0.000
Re3 0.461 0.860 0.000
Re4 0.053 0.981 0.000
Re5 0.280 0.019 0.500
Re6 0.872 0.140 0.500
Re7 0.872 0.360 0.500
Re8 0.280 0.481 0.500
Zr1 0.586 0.094 0.000
Zr2 0.084 0.250 0.000
Zr3 0.586 0.406 0.000
Zr4 0.920 0.750 0.000
Zr5 0.413 0.250 0.500
Zr6 0.748 0.594 0.500
Zr7 0.249 0.750 0.500
Zr8 0.748 0.906 0.500
# E_form (eV/atom): -0.012
# Total moment (Bohr magnetons per cell): 0.00
# Uncorrected energy (eV per atom): -10.496

No. 5
# Zr2Re, relaxed, DFT PBE
data_Zr2Re
_space_group_name_H-M_alt 'P 1'
_space_group_IT_number 1
_space_group_name_Hall 'P 1'
_cell_length_a 14.548
_cell_length_b 3.344
_cell_length_c 4.872
_cell_angle_alpha 90.00
_cell_angle_beta 90.00
_cell_angle_gamma 90.00
loop_
_atom_site_label
_atom_site_fract_x
_atom_site_fract_y
_atom_site_fract_z
Re1 0.302 0.000 0.000
Re2 0.802 0.500 0.000
Re3 0.143 0.000 0.500
Re4 0.643 0.500 0.500
Zr1 0.646 0.000 0.000
Zr2 0.951 0.000 0.000
Zr3 0.146 0.500 0.000
Zr4 0.451 0.500 0.000
Zr5 0.494 0.000 0.500
Zr6 0.798 0.000 0.500
Zr7 0.298 0.500 0.500
Zr8 0.994 0.500 0.500
# E_form (eV/atom): -0.159
# Total moment (Bohr magnetons per cell): 0.00
# Uncorrected energy (eV per atom): -9.998

No. 6
# ZrRe, relaxed, DFT PBE
data_ZrRe
_space_group_name_H-M_alt 'P 1'
_space_group_IT_number 1
_space_group_name_Hall 'P 1'
_cell_length_a 7.167
_cell_length_b 6.536
_cell_length_c 4.730
_cell_angle_alpha 90.00
_cell_angle_beta 90.00
_cell_angle_gamma 103.24
loop_
_atom_site_label
_atom_site_fract_x
_atom_site_fract_y
_atom_site_fract_z
Re1 0.605 0.154 0.000
Re2 0.301 0.325 0.000
Re3 0.607 0.647 0.000
Re4 0.615 0.409 0.500
Re5 0.921 0.731 0.500
Re6 0.617 0.901 0.500
Zr1 0.936 0.489 0.000
Zr2 0.306 0.825 0.000
Zr3 0.939 0.979 0.000
Zr4 0.283 0.076 0.500
Zr5 0.916 0.230 0.500
Zr6 0.286 0.566 0.500
# E_form (eV/atom): -0.051
# Total moment (Bohr magnetons per cell): 0.00
# Uncorrected energy (eV per atom): -10.536

No. 7
# Zr2Re, relaxed, DFT PBE
data_Zr2Re
_space_group_name_H-M_alt 'P 1'
_space_group_IT_number 1
_space_group_name_Hall 'P 1'
_cell_length_a 5.241
_cell_length_b 5.241
_cell_length_c 4.989
_cell_angle_alpha 90.00
_cell_angle_beta 90.00
_cell_angle_gamma 59.99
loop_
_atom_site_label
_atom_site_fract_x
_atom_site_fract_y
_atom_site_fract_z
Re1 0.000 0.000 0.000
Re2 0.333 0.333 0.000
Zr1 0.667 0.667 0.000
Zr2 0.667 0.033 0.500
Zr3 0.033 0.300 0.500
Zr4 0.300 0.667 0.500
# E_form (eV/atom): 0.256
# Total moment (Bohr magnetons per cell): 0.00
# Uncorrected energy (eV per atom): -9.583

No. 8
# Zr2Re, relaxed, DFT PBE
data_Zr2Re
_space_group_name_H-M_alt 'P 1'
_space_group_IT_number 1
_space_group_name_Hall 'P 1'
_cell_length_a 4.620
_cell_length_b 10.270
_cell_length_c 4.854
_cell_angle_alpha 90.00
_cell_angle_beta 90.00
_cell_angle_gamma 90.00
loop_
_atom_site_label
_atom_site_fract_x
_atom_site_fract_y
_atom_site_fract_z
Re1 0.916 0.009 0.000
Re2 0.916 0.657 0.000
Re3 0.917 0.157 0.500
Re4 0.917 0.509 0.500
Zr1 0.418 0.153 0.000
Zr2 0.919 0.333 0.000
Zr3 0.418 0.513 0.000
Zr4 0.414 0.833 0.000
Zr5 0.415 0.013 0.500
Zr6 0.419 0.333 0.500
Zr7 0.415 0.653 0.500
Zr8 0.915 0.833 0.500
# E_form (eV/atom): -0.028
# Total moment (Bohr magnetons per cell): 0.00
# Uncorrected energy (eV per atom): -9.867

No. 9
# ZrRe, relaxed, DFT PBE
data_ZrRe
_space_group_name_H-M_alt 'P 1'
_space_group_IT_number 1
_space_group_name_Hall 'P 1'
_cell_length_a 5.784
_cell_length_b 5.784
_cell_length_c 5.009
_cell_angle_alpha 90.00
_cell_angle_beta 90.00
_cell_angle_gamma 120.21
loop_
_atom_site_label
_atom_site_fract_x
_atom_site_fract_y
_atom_site_fract_z
Re1 0.000 0.000 0.000
Re2 0.834 0.166 0.500
Re3 0.333 0.166 0.500
Re4 0.834 0.667 0.500
Zr1 0.503 0.006 0.000
Zr2 0.994 0.497 0.000
Zr3 0.503 0.497 0.000
Zr4 0.333 0.667 0.500
# E_form (eV/atom): 0.347
# Total moment (Bohr magnetons per cell): 0.00
# Uncorrected energy (eV per atom): -10.138

No. 10
# ZrRe, relaxed, DFT PBE
data_ZrRe
_space_group_name_H-M_alt 'P 1'
_space_group_IT_number 1
_space_group_name_Hall 'P 1'
_cell_length_a 13.976
_cell_length_b 6.601
_cell_length_c 4.708
_cell_angle_alpha 90.00
_cell_angle_beta 90.00
_cell_angle_gamma 90.00
loop_
_atom_site_label
_atom_site_fract_x
_atom_site_fract_y
_atom_site_fract_z
Re1 0.627 0.002 0.000
Re2 0.475 0.247 0.000
Re3 0.975 0.503 0.000
Re4 0.127 0.748 0.000
Re5 0.474 0.756 0.000
Re6 0.974 0.994 0.000
Re7 0.818 0.002 0.500
Re8 0.969 0.247 0.500
Re9 0.469 0.503 0.500
Re10 0.318 0.748 0.500
Re11 0.970 0.756 0.500
Re12 0.470 0.994 0.500
Zr1 0.808 0.237 0.000
Zr2 0.125 0.249 0.000
Zr3 0.625 0.501 0.000
Zr4 0.308 0.513 0.000
Zr5 0.810 0.763 0.000
Zr6 0.310 0.987 0.000
Zr7 0.636 0.237 0.500
Zr8 0.319 0.249 0.500
Zr9 0.819 0.501 0.500
Zr10 0.136 0.513 0.500
Zr11 0.634 0.763 0.500
Zr12 0.134 0.987 0.500
# E_form (eV/atom): -0.019
# Total moment (Bohr magnetons per cell): 0.00
# Uncorrected energy (eV per atom): -10.504

No. 11
# ZrRe, relaxed, DFT PBE
data_ZrRe
_space_group_name_H-M_alt 'P 1'
_space_group_IT_number 1
_space_group_name_Hall 'P 1'
_cell_length_a 4.361
_cell_length_b 7.882
_cell_length_c 4.361
_cell_angle_alpha 90.00
_cell_angle_beta 90.00
_cell_angle_gamma 90.00
loop_
_atom_site_label
_atom_site_fract_x
_atom_site_fract_y
_atom_site_fract_z
Re1 0.917 0.535 0.000
Re2 0.417 0.715 0.000
Re3 0.417 0.535 0.500
Re4 0.917 0.715 0.500
Zr1 0.417 0.282 0.000
Zr2 0.917 0.968 0.000
Zr3 0.917 0.282 0.500
Zr4 0.417 0.968 0.500
# E_form (eV/atom): -0.059
# Total moment (Bohr magnetons per cell): 0.00
# Uncorrected energy (eV per atom): -10.544

No. 12
# ZrRe, relaxed, DFT PBE
data_ZrRe
_space_group_name_H-M_alt 'P 1'
_space_group_IT_number 1
_space_group_name_Hall 'P 1'
_cell_length_a 9.626
_cell_length_b 3.202
_cell_length_c 4.704
_cell_angle_alpha 90.00
_cell_angle_beta 90.00
_cell_angle_gamma 90.00
loop_
_atom_site_label
_atom_site_fract_x
_atom_site_fract_y
_atom_site_fract_z
Re1 0.448 0.000 0.000
Re2 0.233 0.500 0.000
Re3 0.683 0.000 0.500
Re4 0.468 0.500 0.500
Zr1 0.978 0.000 0.000
Zr2 0.694 0.500 0.000
Zr3 0.222 0.000 0.500
Zr4 0.938 0.500 0.500
# E_form (eV/atom): -0.024
# Total moment (Bohr magnetons per cell): 0.00
# Uncorrected energy (eV per atom): -10.509